Entry 1:
Density functional theory data (PBE) for crystalline KZr2In at its relaxed geometry.

Output
Formation energy from the elements   0.38 eV/atom
Symmetry   Cmmm
Total magnetization   0.00 μB per formula unit
Total energy   -4.852 eV/atom

abc: 3.149 3.149 12.108
angles: 90.00 90.00 114.27
Positions (direct):
K: 0.000 0.000 0.000
Zr: 0.500 0.500 0.290
Zr: 0.500 0.500 0.710
In: 0.000 0.000 0.500


Entry 2:
Density functional theory data (PBE) for crystalline KZr2In at its relaxed geometry.

Output
Formation energy from the elements   0.60 eV/atom
Symmetry   Cmmm
Total magnetization   0.00 μB per formula unit
Total energy   -4.632 eV/atom

abc: 6.276 6.276 2.987
angles: 90.00 90.00 117.42
Positions (direct):
K: 0.000 0.000 0.000
Zr: 0.000 0.500 0.500
Zr: 0.500 0.000 0.500
In: 0.500 0.500 0.000


Entry 3:
Density functional theory data (PBE) for crystalline KZrIn3 at its relaxed geometry.

Output
Formation energy from the elements   1.27 eV/atom
Symmetry   Pm-3m
Total magnetization   0.00 μB per formula unit
Total energy   -2.303 eV/atom
Offset from the most stable computed form   1.051 eV/atom

abc: 5.516 5.516 5.516
angles: 90.00 90.00 90.00
Positions (direct):
K: 0.000 0.000 0.000
Zr: 0.500 0.500 0.500
In: 0.000 0.000 0.500
In: 0.000 0.500 0.000
In: 0.500 0.000 0.000